(1)
Computed, not measured: crystalline NaBiP2S at its relaxed geometry at the PBE-GGA level of DFT.

Lattice parameters (Å, degrees): 4.8620 4.8620 4.9328 90.00 90.00 90.00
Fractional positions:
Na1 0.0000 0.0000 0.0000
Bi1 0.5000 0.5000 0.5000
P1 0.0000 0.5000 0.0000
P2 0.5000 0.0000 0.0000
S1 0.0000 0.0000 0.5000

Summary:
**V**: 23.322 A^3/atom
**Uncorrected formation energy**: 1.059 eV/atom
**Space group**: P4/mmm

(2)
Computed, not measured: crystalline Pr2Dy4Y at its relaxed geometry at the PBE-GGA level of DFT.

Lattice parameters (Å, degrees): 7.1124 8.6355 8.8980 114.14 101.50 101.80
Fractional positions:
Pr1 0.0000 0.0000 0.0000
Pr2 0.0912 0.5374 0.8383
Pr3 0.3176 0.7001 0.5670
Pr4 0.4983 0.9887 0.9998
Dy1 0.1773 0.2781 0.4285
Dy2 0.2046 0.1081 0.7043
Dy3 0.2905 0.8734 0.2918
Dy4 0.4022 0.4371 0.1617
Dy5 0.5938 0.5378 0.8353
Dy6 0.7009 0.1084 0.7037
Dy7 0.8170 0.7014 0.5704
Dy8 0.8971 0.4356 0.1627
Y1 0.6742 0.2781 0.4265
Y2 0.7932 0.8726 0.2941

Summary:
**V**: 33.073 A^3/atom
**Space group**: P1

(3)
Computed, not measured: crystalline AgB2PdAu at its relaxed geometry at the PBE-GGA level of DFT.

Lattice parameters (Å, degrees): 3.0394 4.5488 5.5691 72.02 74.27 70.49
Fractional positions:
Ag1 0.0000 0.0000 0.0000
B1 0.4756 0.6531 0.3914
B2 0.6805 0.4960 0.1380
Pd1 0.2137 0.1842 0.3858
Au1 0.8246 0.6434 0.7050

Summary:
**V**: 13.562 A^3/atom
**Space group**: P1

What did we get for E? Answer: -0.218, -0.359, -0.339 Ry/atom, in the order shown.